[1]
VASP calculation (PBE) on crystalline RbSbAs3 at its relaxed geometry.

Cell lengths 5.501, 5.501, 5.501 Å; angles 90.00, 90.00, 90.00 degrees
Space group Pm-3m (No. 221)
One atom of each set of equivalent atoms:
Rb: 0.000 0.000 0.000
Sb: 0.500 0.500 0.500
As: 0.000 0.000 0.500

DOS(E_F) (states/eV per atom): 1.314
Energy above the lowest structure with this stoichiometry (eV/atom): 1.264
Formation energy without anion corrections (kJ/mol of atoms): 164.48

[2]
VASP calculation (PBE) on crystalline Al2ZnGa6 at its relaxed geometry.

Cell lengths 14.220, 2.822, 10.112 Å; angles 90.00, 127.17, 90.00 degrees
Space group C2/m (No. 12)
One atom of each set of equivalent atoms:
Al: 0.143 0.000 0.315
Zn: 0.000 0.500 0.000
Ga: 0.088 0.500 0.826
Ga: 0.103 0.500 0.518
Ga: 0.240 0.500 0.172

ΔE_f (eV/atom): 0.0350
DOS(E_F) (states/eV per atom): 0.278
Energy above the lowest structure with this stoichiometry (eV/atom): 0.004

[3]
VASP calculation (PBE) on crystalline Ca2YRh at its relaxed geometry.

Cell lengths 3.5627, 3.5627, 31.4721 Å; angles 90.00, 90.00, 120.00 degrees
Space group R-3m (No. 166, hexagonal axes)
One atom of each set of equivalent atoms:
Ca: 0.0000 0.0000 0.2293
Y: 0.0000 0.0000 0.0000
Rh: 0.0000 0.0000 0.5000

ΔE_f (eV/atom): -0.0085
DOS(E_F) (states/eV per atom): 0.678
Energy above the lowest structure with this stoichiometry (eV/atom): 0.336

[4]
VASP calculation (PBE) on crystalline KLaMn2 at its relaxed geometry.

Cell lengths 3.338, 3.338, 9.913 Å; angles 90.00, 90.00, 90.00 degrees
Space group P4mm (No. 99)
One atom of each set of equivalent atoms:
K: 0.000 0.000 0.000
La: 0.500 0.500 0.390
Mn: 0.000 0.000 0.617
Mn: 0.500 0.500 0.714

ΔE_f (eV/atom): 0.4894
DOS(E_F) (states/eV per atom): 0.803
Energy above the lowest structure with this stoichiometry (eV/atom): 0.003

[5]
VASP calculation (PBE) on crystalline Th3V at its relaxed geometry.

Cell lengths 6.8863, 6.8863, 5.5306 Å; angles 90.00, 90.00, 120.00 degrees
Space group P6_3/mmc (No. 194)
One atom of each set of equivalent atoms:
Th: 0.1766 0.3531 0.2500
V: 0.3333 0.6667 0.7500

ΔE_f (eV/atom): 0.3609
DOS(E_F) (states/eV per atom): 1.815
Energy above the lowest structure with this stoichiometry (eV/atom): 0.090

[6]
VASP calculation (PBE) on crystalline TmTh2As2Se2 at its relaxed geometry.

Cell lengths 5.257, 5.257, 14.764 Å; angles 90.00, 90.00, 90.00 degrees
Space group I4/mmm (No. 139)
One atom of each set of equivalent atoms:
Tm: 0.000 0.000 0.000
Th: 0.000 0.000 0.383
As: 0.000 0.500 0.000
Se: 0.000 0.000 0.190

DOS(E_F) (states/eV per atom): 0.461
Formation energy without anion corrections (kJ/mol of atoms): -106.98

[7]
VASP calculation (PBE) on crystalline ThHgP2O8 at its relaxed geometry.

Cell lengths 5.0208, 5.0208, 22.0238 Å; angles 90.00, 90.00, 120.00 degrees
Space group R-3 (No. 148, hexagonal axes)
One atom of each set of equivalent atoms:
Th: 0.0000 0.0000 0.0000
Hg: 0.0000 0.0000 0.5000
P: 0.0000 0.0000 0.2430
O: 0.0000 0.0000 0.1736
O: 0.0174 0.2987 0.2688

Formation energy without anion corrections (kJ/mol of atoms): -215.19

[8]
VASP calculation (PBE) on crystalline K3CaRe at its relaxed geometry.

Cell lengths 7.416, 7.416, 7.416 Å; angles 90.00, 90.00, 90.00 degrees
Space group Pm-3m (No. 221)
One atom of each set of equivalent atoms:
K: 0.000 0.000 0.500
Ca: 0.000 0.000 0.000
Re: 0.500 0.500 0.500

ΔE_f (eV/atom): 1.8272
DOS(E_F) (states/eV per atom): 1.336
Energy above the lowest structure with this stoichiometry (eV/atom): 0.393

[9]
VASP calculation (PBE) on crystalline AcNpHgBi at its relaxed geometry.

Cell lengths 7.958, 7.958, 7.958 Å; angles 90.00, 90.00, 90.00 degrees
Space group F-43m (No. 216)
One atom of each set of equivalent atoms:
Ac: 0.000 0.000 0.000
Np: 0.000 0.000 0.500
Hg: 0.250 0.250 0.750
Bi: 0.250 0.250 0.250

ΔE_f (eV/atom): -0.0952
DOS(E_F) (states/eV per atom): 2.916

[10]
VASP calculation (PBE) on crystalline PrHo2Ag6 at its relaxed geometry.

Cell lengths 8.2856, 8.2856, 3.4600 Å; angles 90.00, 90.00, 120.00 degrees
Space group P6/mmm (No. 191)
One atom of each set of equivalent atoms:
Pr: 0.0000 0.0000 0.0000
Ho: 0.3333 0.6667 0.0000
Ag: 0.0000 0.3361 0.5000

ΔE_f (eV/atom): -0.2431
DOS(E_F) (states/eV per atom): 0.759

[11]
VASP calculation (PBE) on crystalline Y2ErSc4 at its relaxed geometry.

Cell lengths 3.342, 34.883, 3.328 Å; angles 90.00, 90.00, 90.00 degrees
Space group Cmmm (No. 65)
One atom of each set of equivalent atoms:
Y: 0.000 0.205 0.000
Er: 0.000 0.500 0.500
Sc: 0.000 0.070 0.000
Sc: 0.000 0.365 0.500

ΔE_f (eV/atom): 0.1061
DOS(E_F) (states/eV per atom): 1.684
Energy above the lowest structure with this stoichiometry (eV/atom): 0.000

[12]
VASP calculation (PBE) on crystalline TbY6Sc3 at its relaxed geometry.

Cell lengths 10.349, 18.710, 6.235 Å; angles 90.00, 90.00, 90.00 degrees
Space group Cmc2_1 (No. 36)
One atom of each set of equivalent atoms:
Tb: 0.000 0.211 0.000
Y: 0.000 0.046 0.660
Y: 0.000 0.306 0.481
Y: 0.169 0.465 0.339
Y: 0.238 0.202 0.662
Sc: 0.000 0.385 0.930
Sc: 0.191 0.115 0.228

ΔE_f (eV/atom): 0.1633
DOS(E_F) (states/eV per atom): 1.369
Energy above the lowest structure with this stoichiometry (eV/atom): 0.038

no.,E_tot (eV per atom)
1,-2.10
2,-2.96
3,-4.46
4,-5.60
5,-7.48
6,-6.19
7,-7.08
8,-1.72
9,-5.40
10,-3.69
11,-6.01
12,-6.08